# Mg2SbPb

A PBEsol-optimized structure of Mg2SbPb (SCAN, Alexandria).

The structure in CIF format:
```
data_Mg2SbPb
_space_group_name_H-M_alt 'C 1 m 1'
_space_group_IT_number 8
_cell_length_a 11.649
_cell_length_b 3.466
_cell_length_c 5.154
_cell_angle_alpha 90.00
_cell_angle_beta 108.57
_cell_angle_gamma 90.00
loop_
_space_group_symop_operation_xyz
'x,y,z'
'x,-y,z'
'x+1/2,y+1/2,z'
'x+1/2,-y+1/2,z'
loop_
_atom_site_label
_atom_site_type_symbol
_atom_site_fract_x
_atom_site_fract_y
_atom_site_fract_z
Mg1 Mg 0.000 0.000 0.000
Mg2 Mg 0.248 0.500 0.430
Sb1 Sb 0.255 0.000 0.944
Pb1 Pb 0.495 0.000 0.492
```

Values from the calculation:
Magnetization   0.0001 μB/atom
Volume   197.3 Å³/cell
Energy   -1.1358 Ha/atom
Energy relative to the elements, uncorrected   -159.1 meV per atom